No. 1
## Cs2SiGeF6 (PBE)

Data for a relaxed Cs2SiGeF6 crystal.

Results
Crystal system: cubic
E_form (uncorrected): -22.74 eV/f.u.

Lattice parameters (Å, degrees): 6.379 6.379 6.379 60.00 60.00 60.00
Positions (direct):
Cs1 0.250 0.250 0.250
Cs2 0.750 0.750 0.750
Si1 0.000 0.000 0.000
Ge1 0.500 0.500 0.500
F1 0.245 0.245 0.755
F2 0.245 0.755 0.245
F3 0.245 0.755 0.755
F4 0.755 0.245 0.245
F5 0.755 0.245 0.755
F6 0.755 0.755 0.245

No. 2
## NdB2Rh3 (PBE)

Data for a relaxed NdB2Rh3 crystal.

Results
Crystal system: hexagonal
ΔE_f: -1.93 eV per formula unit

Lattice parameters (Å, degrees): 9.020 9.020 3.578 90.00 90.00 120.00
Positions (direct):
Nd1 0.000 0.000 0.000
Nd2 0.333 0.667 0.500
Nd3 0.667 0.333 0.500
B1 0.187 0.374 0.000
B2 0.187 0.813 0.000
B3 0.374 0.187 0.000
B4 0.626 0.813 0.000
B5 0.813 0.187 0.000
B6 0.813 0.626 0.000
Rh1 0.000 0.284 0.500
Rh2 0.000 0.500 0.000
Rh3 0.000 0.716 0.500
Rh4 0.284 0.000 0.500
Rh5 0.284 0.284 0.500
Rh6 0.500 0.000 0.000
Rh7 0.500 0.500 0.000
Rh8 0.716 0.000 0.500
Rh9 0.716 0.716 0.500

No. 3
## Tl9Hg4As (PBE)

Data for a relaxed Tl9Hg4As crystal.

Results
Crystal system: hexagonal
ΔE_f: 0.24 eV per formula unit

Lattice parameters (Å, degrees): 9.527 9.527 10.767 90.00 90.00 120.00
Positions (direct):
Tl1 0.060 0.530 0.250
Tl2 0.207 0.413 0.539
Tl3 0.207 0.413 0.961
Tl4 0.207 0.793 0.539
Tl5 0.207 0.793 0.961
Tl6 0.413 0.207 0.039
Tl7 0.413 0.207 0.461
Tl8 0.470 0.530 0.250
Tl9 0.470 0.940 0.250
Tl10 0.530 0.060 0.750
Tl11 0.530 0.470 0.750
Tl12 0.587 0.793 0.539
Tl13 0.587 0.793 0.961
Tl14 0.793 0.207 0.039
Tl15 0.793 0.207 0.461
Tl16 0.793 0.587 0.039
Tl17 0.793 0.587 0.461
Tl18 0.940 0.470 0.750
Hg1 0.000 0.000 0.000
Hg2 0.000 0.000 0.500
Hg3 0.112 0.223 0.250
Hg4 0.112 0.888 0.250
Hg5 0.223 0.112 0.750
Hg6 0.777 0.888 0.250
Hg7 0.888 0.112 0.750
Hg8 0.888 0.777 0.750
As1 0.333 0.667 0.750
As2 0.667 0.333 0.250

No. 4
## BaZn (PBE)

Data for a relaxed BaZn crystal.

Results
Crystal system: monoclinic
ΔE_f: -0.20 eV per formula unit

Lattice parameters (Å, degrees): 6.517 6.517 8.822 111.45 111.45 41.52
Positions (direct):
Ba1 0.000 0.000 0.000
Ba2 0.635 0.635 0.695
Ba3 0.830 0.830 0.339
Zn1 0.141 0.141 0.415
Zn2 0.292 0.292 0.006
Zn3 0.340 0.340 0.686

No. 5
## KAgW4 (PBE)

Data for a relaxed KAgW4 crystal.

Results
Crystal system: cubic
ΔE_f: 7.59 eV per formula unit

Lattice parameters (Å, degrees): 5.478 5.478 5.478 60.00 60.00 60.00
Positions (direct):
K1 0.000 0.000 0.000
Ag1 0.250 0.250 0.250
W1 0.120 0.627 0.627
W2 0.627 0.120 0.627
W3 0.627 0.627 0.120
W4 0.627 0.627 0.627